{"formula": "YRuSe", "functional": "GGA-PBE", "state": "relaxed", "lattice": [[-1.6582, 1.6582, 5.3069], [1.6582, -1.6582, 5.3069], [1.6582, 1.6582, -5.3069]], "species": ["Y", "Ru", "Se"], "fractional_positions": [[0.0000, 0.0000, 0.0000], [0.3198, 0.3198, 0.0000], [0.6976, 0.6976, 0.0000]], "sg": "No. 107", "energy_ev_per_atom": -6.759, "formation_energy_uncorrected_ev_per_atom": -0.351, "e_above_lowest_polymorph_mev_per_atom": 401, "vol_a3_per_cell": 58}



{"formula": "ZnRuSe", "functional": "GGA-PBE", "state": "relaxed", "lattice": [[-1.4937, 1.4937, 5.8009], [1.4937, -1.4937, 5.8009], [1.4937, 1.4937, -5.8009]], "species": ["Zn", "Ru", "Se"], "fractional_positions": [[0.0000, 0.0000, 0.0000], [0.6491, 0.6491, 0.0000], [0.2691, 0.2691, 0.0000]], "sg": "No. 107", "energy_ev_per_atom": -4.678, "formation_energy_uncorrected_ev_per_atom": 0.000, "e_above_lowest_polymorph_mev_per_atom": 37, "vol_a3_per_cell": 52}



{"formula": "ZnRu2Se2", "functional": "GGA-PBE", "state": "relaxed", "lattice": [[-1.9920, 1.9920, 7.6301], [1.9920, -1.9920, 7.6301], [1.9920, 1.9920, -7.6301]], "species": ["Zn", "Ru", "Ru", "Se", "Se"], "fractional_positions": [[0.0000, 0.0000, 0.0000], [0.2500, 0.7500, 0.5000], [0.7500, 0.2500, 0.5000], [0.3416, 0.3416, 0.0000], [0.6584, 0.6584, 0.0000]], "sg": "No. 139", "energy_ev_per_atom": -5.370, "formation_energy_uncorrected_ev_per_atom": -0.011, "e_above_lowest_polymorph_mev_per_atom": 0, "vol_a3_per_cell": 121}



{"formula": "ZnRuSe", "functional": "GGA-PBE", "state": "relaxed", "lattice": [[0.0000, 2.9825, 2.9825], [2.9825, 0.0000, 2.9825], [2.9825, 2.9825, 0.0000]], "species": ["Zn", "Ru", "Se"], "fractional_positions": [[0.0000, 0.0000, 0.0000], [0.7500, 0.7500, 0.7500], [0.5000, 0.5000, 0.5000]], "sg": "No. 216", "energy_ev_per_atom": -4.512, "formation_energy_uncorrected_ev_per_atom": 0.166, "e_above_lowest_polymorph_mev_per_atom": 203, "vol_a3_per_cell": 53}



{"formula": "ZnRu4Se", "functional": "GGA-PBE", "state": "relaxed", "lattice": [[0.0000, 3.6355, 3.6355], [3.6355, 0.0000, 3.6355], [3.6355, 3.6355, 0.0000]], "species": ["Zn", "Ru", "Ru", "Ru", "Ru", "Se"], "fractional_positions": [[0.0000, 0.0000, 0.0000], [0.1263, 0.6246, 0.6246], [0.6246, 0.1263, 0.6246], [0.6246, 0.6246, 0.1263], [0.6246, 0.6246, 0.6246], [0.2500, 0.2500, 0.2500]], "sg": "No. 216", "energy_ev_per_atom": -6.296, "formation_energy_uncorrected_ev_per_atom": 0.681, "vol_a3_per_cell": 96}



{"formula": "ZnRuSe3", "functional": "GGA-PBE", "state": "relaxed", "lattice": [[4.8972, 0.0000, 0.0000], [0.0000, 4.8972, 0.0000], [0.0000, 0.0000, 4.8972]], "species": ["Zn", "Ru", "Se", "Se", "Se"], "fractional_positions": [[0.0000, 0.0000, 0.0000], [0.5000, 0.5000, 0.5000], [0.0000, 0.5000, 0.5000], [0.5000, 0.0000, 0.5000], [0.5000, 0.5000, 0.0000]], "sg": "No. 221", "energy_ev_per_atom": -3.746, "formation_energy_uncorrected_ev_per_atom": 0.454, "e_above_lowest_polymorph_mev_per_atom": 0, "vol_a3_per_cell": 117}



{"formula": "ZnRuSe3", "functional": "GGA-PBE", "state": "relaxed", "lattice": [[4.8621, 0.0000, 0.0000], [0.0000, 4.8621, 0.0000], [0.0000, 0.0000, 4.8621]], "species": ["Zn", "Ru", "Se", "Se", "Se"], "fractional_positions": [[0.0000, 0.0000, 0.0000], [0.5000, 0.5000, 0.5000], [0.0000, 0.0000, 0.5000], [0.0000, 0.5000, 0.0000], [0.5000, 0.0000, 0.0000]], "sg": "No. 221", "energy_ev_per_atom": -3.188, "formation_energy_uncorrected_ev_per_atom": 1.012, "e_above_lowest_polymorph_mev_per_atom": 558, "vol_a3_per_cell": 115}



{"formula": "Zn4RuSe", "functional": "GGA-PBE", "state": "relaxed", "lattice": [[0.0000, 3.5650, 3.5650], [3.5650, 0.0000, 3.5650], [3.5650, 3.5650, 0.0000]], "species": ["Zn", "Zn", "Zn", "Zn", "Ru", "Se"], "fractional_positions": [[0.1242, 0.1242, 0.1242], [0.1242, 0.1242, 0.6275], [0.1242, 0.6275, 0.1242], [0.6275, 0.1242, 0.1242], [0.7500, 0.7500, 0.7500], [0.5000, 0.5000, 0.5000]], "sg": "No. 216", "energy_ev_per_atom": -2.790, "formation_energy_uncorrected_ev_per_atom": 0.186, "vol_a3_per_cell": 91}



{"formula": "ZnRuSe", "functional": "GGA-PBE", "state": "relaxed", "lattice": [[0.0000, 2.9736, 2.9736], [2.9736, 0.0000, 2.9736], [2.9736, 2.9736, 0.0000]], "species": ["Zn", "Ru", "Se"], "fractional_positions": [[0.0000, 0.0000, 0.0000], [0.5000, 0.5000, 0.5000], [0.2500, 0.2500, 0.2500]], "sg": "No. 216", "energy_ev_per_atom": -4.223, "formation_energy_uncorrected_ev_per_atom": 0.455, "e_above_lowest_polymorph_mev_per_atom": 492, "vol_a3_per_cell": 53}



{"formula": "Zn2Ru2Se", "functional": "GGA-PBE", "state": "relaxed", "lattice": [[-1.7505, 1.7505, 7.0616], [1.7505, -1.7505, 7.0616], [1.7505, 1.7505, -7.0616]], "species": ["Zn", "Zn", "Ru", "Ru", "Se"], "fractional_positions": [[0.0983, 0.0983, 0.0000], [0.9017, 0.9017, 0.0000], [0.2500, 0.7500, 0.5000], [0.7500, 0.2500, 0.5000], [0.5000, 0.5000, 0.0000]], "sg": "No. 139", "energy_ev_per_atom": -4.479, "formation_energy_uncorrected_ev_per_atom": 0.438, "e_above_lowest_polymorph_mev_per_atom": 348, "vol_a3_per_cell": 87}



{"formula": "ZnRu2Se2", "functional": "GGA-PBE", "state": "relaxed", "lattice": [[7.5200, 0.0000, 0.0000], [0.0000, 7.5200, 0.0000], [0.0000, 0.0000, 2.9583]], "species": ["Zn", "Zn", "Ru", "Ru", "Ru", "Ru", "Se", "Se", "Se", "Se"], "fractional_positions": [[0.0000, 0.0000, 0.0000], [0.5000, 0.5000, 0.0000], [0.1367, 0.3633, 0.5000], [0.3633, 0.8633, 0.5000], [0.6367, 0.1367, 0.5000], [0.8633, 0.6367, 0.5000], [0.1460, 0.6460, 0.0000], [0.3540, 0.1460, 0.0000], [0.6460, 0.8540, 0.0000], [0.8540, 0.3540, 0.0000]], "sg": "No. 127", "energy_ev_per_atom": -5.014, "formation_energy_uncorrected_ev_per_atom": 0.345, "e_above_lowest_polymorph_mev_per_atom": 357, "vol_a3_per_cell": 167}



{"formula": "Zn2Ru2Se", "functional": "GGA-PBE", "state": "relaxed", "lattice": [[6.8799, 0.0000, 0.0000], [0.0000, 6.8799, 0.0000], [0.0000, 0.0000, 3.2182]], "species": ["Zn", "Zn", "Zn", "Zn", "Ru", "Ru", "Ru", "Ru", "Se", "Se"], "fractional_positions": [[0.1264, 0.3736, 0.0000], [0.3736, 0.8736, 0.0000], [0.6264, 0.1264, 0.0000], [0.8736, 0.6264, 0.0000], [0.1706, 0.6706, 0.5000], [0.3294, 0.1706, 0.5000], [0.6706, 0.8294, 0.5000], [0.8294, 0.3294, 0.5000], [0.0000, 0.0000, 0.0000], [0.5000, 0.5000, 0.0000]], "sg": "No. 127", "energy_ev_per_atom": -4.526, "formation_energy_uncorrected_ev_per_atom": 0.391, "e_above_lowest_polymorph_mev_per_atom": 301, "vol_a3_per_cell": 152}



{"formula": "Zn2Ru2Se", "functional": "GGA-PBE", "state": "relaxed", "lattice": [[6.3281, 0.0000, 0.0000], [0.0000, 6.3281, 0.0000], [0.0000, 0.0000, 3.9401]], "species": ["Zn", "Zn", "Zn", "Zn", "Ru", "Ru", "Ru", "Ru", "Se", "Se"], "fractional_positions": [[0.1441, 0.3559, 0.0000], [0.3559, 0.8559, 0.0000], [0.6441, 0.1441, 0.0000], [0.8559, 0.6441, 0.0000], [0.1573, 0.6573, 0.5000], [0.3427, 0.1573, 0.5000], [0.6573, 0.8427, 0.5000], [0.8427, 0.3427, 0.5000], [0.0000, 0.0000, 0.5000], [0.5000, 0.5000, 0.5000]], "sg": "No. 127", "energy_ev_per_atom": -4.827, "formation_energy_uncorrected_ev_per_atom": 0.090, "e_above_lowest_polymorph_mev_per_atom": 0, "vol_a3_per_cell": 158}



{"formula": "ZnRuSe", "functional": "GGA-PBE", "state": "relaxed", "lattice": [[4.2172, 0.0000, 0.0000], [-2.1086, 3.6522, 0.0000], [0.0000, 0.0000, 3.1781]], "species": ["Zn", "Ru", "Se"], "fractional_positions": [[0.0000, 0.0000, 0.0000], [0.6667, 0.3333, 0.5000], [0.3333, 0.6667, 0.5000]], "sg": "No. 187", "energy_ev_per_atom": -4.453, "formation_energy_uncorrected_ev_per_atom": 0.225, "e_above_lowest_polymorph_mev_per_atom": 262, "vol_a3_per_cell": 49}



{"formula": "ZnRuSe", "functional": "GGA-PBE", "state": "relaxed", "lattice": [[3.2700, 0.0000, 0.0000], [-1.6350, 2.8319, 0.0000], [0.0000, 0.0000, 5.8727]], "species": ["Zn", "Ru", "Se"], "fractional_positions": [[0.0000, 0.0000, 0.0000], [0.6667, 0.3333, 0.3149], [0.3333, 0.6667, 0.5675]], "sg": "No. 156", "energy_ev_per_atom": -4.715, "formation_energy_uncorrected_ev_per_atom": -0.037, "e_above_lowest_polymorph_mev_per_atom": 0, "vol_a3_per_cell": 54}



{"formula": "ZnRuSe", "functional": "GGA-PBE", "state": "relaxed", "lattice": [[0.0000, 2.5863, 6.6626], [1.4932, 0.0000, 6.6626], [1.4932, 2.5863, 0.0000]], "species": ["Zn", "Ru", "Se"], "fractional_positions": [[0.0000, 0.0000, 0.0000], [0.6562, 0.6562, 0.3438], [0.3002, 0.3002, 0.6998]], "sg": "No. 42", "energy_ev_per_atom": -4.383, "formation_energy_uncorrected_ev_per_atom": 0.295, "e_above_lowest_polymorph_mev_per_atom": 333, "vol_a3_per_cell": 51}



{"formula": "ZrRu2Se", "functional": "GGA-PBE", "state": "relaxed", "lattice": [[1.4877, 0.8589, 8.7180], [-1.4877, 0.8589, 8.7180], [0.0000, -1.7178, 8.7180]], "species": ["Zr", "Ru", "Ru", "Se"], "fractional_positions": [[0.0000, 0.0000, 0.0000], [0.5012, 0.5012, 0.5012], [0.7585, 0.7585, 0.7585], [0.2461, 0.2461, 0.2461]], "sg": "No. 160", "energy_ev_per_atom": -7.495, "formation_energy_uncorrected_ev_per_atom": 0.151, "vol_a3_per_cell": 67}



{"formula": "ZrRu2Se", "functional": "GGA-PBE", "state": "relaxed", "lattice": [[-1.9668, 1.9668, 4.1932], [1.9668, -1.9668, 4.1932], [1.9668, 1.9668, -4.1932]], "species": ["Zr", "Ru", "Ru", "Se"], "fractional_positions": [[0.0000, 0.0000, 0.0000], [0.2500, 0.7500, 0.5000], [0.7500, 0.2500, 0.5000], [0.5000, 0.5000, 0.0000]], "sg": "No. 139", "energy_ev_per_atom": -7.795, "formation_energy_uncorrected_ev_per_atom": -0.149, "vol_a3_per_cell": 65}



{"formula": "ZrRu2Se", "functional": "GGA-PBE", "state": "relaxed", "lattice": [[3.1935, 0.0000, 0.0000], [0.0000, 3.6861, 0.0000], [0.0000, 0.0000, 5.8602]], "species": ["Zr", "Ru", "Ru", "Se"], "fractional_positions": [[0.0000, 0.0000, 0.0000], [0.0000, 0.0000, 0.4491], [0.5000, 0.5000, 0.2942], [0.5000, 0.5000, 0.7557]], "sg": "No. 25", "energy_ev_per_atom": -7.776, "formation_energy_uncorrected_ev_per_atom": -0.130, "vol_a3_per_cell": 69}



{"formula": "ZrRu2Se", "functional": "GGA-PBE", "state": "relaxed", "lattice": [[3.0607, 0.0000, 0.0000], [0.0000, 3.0607, 0.0000], [0.0000, 0.0000, 7.0559]], "species": ["Zr", "Ru", "Ru", "Se"], "fractional_positions": [[0.0000, 0.0000, 0.0000], [0.0000, 0.0000, 0.5080], [0.5000, 0.5000, 0.2920], [0.5000, 0.5000, 0.7526]], "sg": "No. 99", "energy_ev_per_atom": -7.770, "formation_energy_uncorrected_ev_per_atom": -0.124, "vol_a3_per_cell": 66}